{
  "formula": "Cs3Pa3TcN8",
  "functional": "PBE",
  "state": "optimized geometry",
  "magnetic_moment_mub_per_atom": 0.07,
  "volume_a3_per_cell": 297.2,
  "sg": "R-3m (166)",
  "e_form_raw_kj_per_mol_atoms": -72.9,
  "dft_energy_ry_per_atom": -0.5848,
  "cell": [[6.954, 0.001, -0.001], [-3.476, 6.020, -0.018], [-0.001, -3.994, 7.111]],
  "species": ["Cs", "Cs", "Cs", "Pa", "Pa", "Pa", "Tc", "N", "N", "N", "N", "N", "N", "N", "N"],
  "frac_coords": [[0.000, 0.000, 0.000], [0.000, 0.500, 0.000], [0.500, 0.500, 0.000], [0.500, 0.000, 0.500], [0.500, 0.500, 0.500], [0.000, 0.500, 0.500], [0.000, 0.000, 0.500], [0.284, 0.569, 0.353], [0.716, 0.431, 0.647], [0.797, 0.595, 0.359], [0.203, 0.405, 0.641], [0.797, 0.061, 0.359], [0.203, 0.939, 0.641], [0.264, 0.062, 0.359], [0.736, 0.938, 0.641]]
}